Here is a relaxed structure of CuC3F from Alexandria. Energies are from PBE-GGA.

Unit cell a=3.716 b=3.716 c=3.716 alpha=90.00 beta=90.00 gamma=90.00
Sites, in units of the cell vectors:
Cu 0.000 0.000 0.000
C 0.000 0.500 0.500
C 0.500 0.000 0.500
C 0.500 0.500 0.000
F 0.500 0.500 0.500

Values from the calculation:
Total magnetic moment = 0.0 μB per formula unit
SG = Pm-3m, No. 221
Offset from the most stable computed form = 414 meV per atom
Total DFT energy (no corrections) = -17.569 eV for the cell shown